(1)
Density functional theory data (GGA-PBE) for crystalline Y3B9Ru2 at its relaxed geometry.

Cell and atoms, written as POSCAR:
```
Y3B9Ru2
1.0
-2.387 -0.752 -1.925
-1.921 -7.327 2.656
-5.982 -1.061 5.245
Y B Ru
3 9 2
Cartesian
0.000 0.000 0.000 Y
-3.870 -2.804 0.716 Y
-6.421 -6.336 5.260 Y
-3.952 -4.194 3.950 B
-5.673 -1.559 2.466 B
-4.618 -7.581 3.510 B
-3.117 -5.503 0.836 B
-7.174 -3.637 5.140 B
-6.049 -7.510 2.667 B
-4.242 -1.630 3.309 B
-8.075 -4.383 3.960 B
-2.216 -4.757 2.017 B
-5.851 -3.481 3.438 Ru
-4.440 -5.659 2.538 Ru
```

- Energy relative to the elements: -0.2398 eV per atom
- Density of states at the Fermi level: 0.63 states/eV per atom

(2)
Density functional theory data (GGA-PBE) for crystalline Ho8Mg2In at its relaxed geometry.

Cell and atoms, written as POSCAR:
```
Ho8Mg2In
1.0
-1.335 1.876 -4.955
6.392 -5.638 -1.846
-7.658 -2.939 2.962
Ho Mg In
8 2 1
Cartesian
-0.578 -5.443 -3.992 Ho
-3.755 -4.833 -2.904 Ho
-1.164 -4.592 -0.823 Ho
2.749 -4.128 -3.305 Ho
-5.350 -2.572 -0.534 Ho
-1.437 -2.108 -3.016 Ho
1.155 -1.867 -0.935 Ho
-2.023 -1.257 0.153 Ho
-3.360 -3.764 1.491 Mg
2.094 -4.812 -0.375 Mg
-0.667 0.938 -2.477 In
```

- Energy relative to the elements: 0.0648 eV per atom
- Density of states at the Fermi level: 1.34 states/eV per atom

Which value of energy relative to the elements does entry 2 give?
0.0648 eV per atom

Which value of density of states at the Fermi level does entry 2 give?
1.34 states/eV per atom

The lowest energy relative to the elements belongs to which entry?
Y3B9Ru2

Which of these has the highest density of states at the Fermi level?
Ho8Mg2In